1.
YP8 | PBE-GGA | optimized geometry

The space group is I4/mmm (No. 139) and the conventional cell measures 9.283, 9.283 and 3.292 Å, with angles of 90.00, 90.00 and 90.00 degrees. The inequivalent atoms are Y at (0.000, 0.000, 0.000), P at (0.000, 0.345, 0.000) and P at (0.188, 0.188, 0.500).

The total magnetization comes out at 0.000 μB/atom. The uncorrected energy comes out at -5.19 eV per atom. The value obtained for the energy of formation from the pure elements is 0.341 eV/atom.


2.
Nb2RuCl | PBE-GGA | optimized geometry

The space group is Fm-3m (No. 225) and the conventional cell measures 6.404, 6.404 and 6.404 Å, with angles of 90.00, 90.00 and 90.00 degrees. The inequivalent atoms are Nb at (0.250, 0.250, 0.250), Ru at (0.000, 0.000, 0.000) and Cl at (0.000, 0.000, 0.500).

The value obtained for the formation energy from raw total energies is 0.335 eV/atom. The total magnetization comes out at 0.000 μB/atom. The uncorrected energy comes out at -7.48 eV per atom. The offset from the most stable computed form is 0.000 eV per atom.


3.
Rb2ReCCl6 | PBE-GGA | optimized geometry

The space group is I4/mmm (No. 139) and the conventional cell measures 7.795, 7.795 and 9.094 Å, with angles of 90.00, 90.00 and 90.00 degrees. The inequivalent atoms are Rb at (0.000, 0.500, 0.250), Re at (0.000, 0.000, 0.000), C at (0.000, 0.000, 0.500), Cl at (0.000, 0.000, 0.264) and Cl at (0.218, 0.218, 0.000).

The value obtained for the formation energy from raw total energies is -0.369 eV/atom. The total magnetization comes out at 0.249 μB/atom. The uncorrected energy comes out at -3.84 eV per atom.


4.
BeAsBr2Cl | PBE-GGA | optimized geometry

The space group is P4/mmm (No. 123) and the conventional cell measures 4.585, 4.585 and 5.199 Å, with angles of 90.00, 90.00 and 90.00 degrees. The inequivalent atoms are Be at (0.000, 0.000, 0.000), As at (0.000, 0.000, 0.500), Br at (0.000, 0.500, 0.000) and Cl at (0.500, 0.500, 0.500).

The value obtained for the formation energy from raw total energies is 0.167 eV/atom. The total magnetization comes out at 0.000 μB/atom. The uncorrected energy comes out at -2.55 eV per atom. The offset from the most stable computed form is 0.000 eV per atom.


5.
FeBiSb2I | PBE-GGA | optimized geometry

The space group is P4/mmm (No. 123) and the conventional cell measures 4.968, 4.968 and 5.569 Å, with angles of 90.00, 90.00 and 90.00 degrees. The inequivalent atoms are Fe at (0.000, 0.000, 0.000), Bi at (0.500, 0.500, 0.500), Sb at (0.000, 0.500, 0.000) and I at (0.000, 0.000, 0.500).

The value obtained for the formation energy from raw total energies is 0.437 eV/atom. The total magnetization comes out at 0.289 μB/atom. The uncorrected energy comes out at -3.99 eV per atom. The offset from the most stable computed form is 0.000 eV per atom.


6.
Ac2Dy6Y3 | PBE-GGA | optimized geometry

The space group is C2/m (No. 12) and the conventional cell measures 6.212, 10.766 and 12.028 Å, with angles of 90.00, 99.95 and 90.00 degrees. The inequivalent atoms are Ac at (0.000, 0.167, 0.000), Dy at (0.247, 0.167, 0.740), Dy at (0.247, 0.500, 0.741), Y at (0.000, 0.000, 0.500) and Y at (0.000, 0.335, 0.500).

The total magnetization comes out at 0.000 μB/atom. The uncorrected energy comes out at -4.83 eV per atom. The value obtained for the energy of formation from the pure elements is 0.191 eV/atom.


7.
AlCdAg4 | PBE-GGA | optimized geometry

The space group is P4/mmm (No. 123) and the conventional cell measures 3.133, 3.133 and 10.935 Å, with angles of 90.00, 90.00 and 90.00 degrees. The inequivalent atoms are Al at (0.000, 0.000, 0.000), Cd at (0.500, 0.500, 0.500), Ag at (0.000, 0.000, 0.320) and Ag at (0.500, 0.500, 0.147).

The total magnetization comes out at 0.000 μB/atom. The uncorrected energy comes out at -2.72 eV per atom. The value obtained for the energy of formation from the pure elements is -0.043 eV/atom. The offset from the most stable computed form is 0.000 eV per atom.


8.
Zr3NiP | PBE-GGA | optimized geometry

The space group is Pm-3m (No. 221) and the conventional cell measures 4.819, 4.819 and 4.819 Å, with angles of 90.00, 90.00 and 90.00 degrees. The inequivalent atoms are Zr at (0.000, 0.000, 0.500), Ni at (0.500, 0.500, 0.500) and P at (0.000, 0.000, 0.000).

The total magnetization comes out at 0.000 μB/atom. The uncorrected energy comes out at -7.39 eV per atom. The value obtained for the energy of formation from the pure elements is -0.025 eV/atom. The offset from the most stable computed form is 0.000 eV per atom.


9.
Zr2BeCdGa | PBE-GGA | optimized geometry

The space group is P4/mmm (No. 123) and the conventional cell measures 4.793, 4.793 and 4.202 Å, with angles of 90.00, 90.00 and 90.00 degrees. The inequivalent atoms are Zr at (0.000, 0.500, 0.000), Be at (0.000, 0.000, 0.000), Cd at (0.500, 0.500, 0.500) and Ga at (0.000, 0.000, 0.500).

The total magnetization comes out at 0.000 μB/atom. The uncorrected energy comes out at -4.92 eV per atom. The value obtained for the energy of formation from the pure elements is 0.036 eV/atom.


10.
YAsPb3 | PBE-GGA | optimized geometry

The space group is Pm-3m (No. 221) and the conventional cell measures 5.853, 5.853 and 5.853 Å, with angles of 90.00, 90.00 and 90.00 degrees. The inequivalent atoms are Y at (0.000, 0.000, 0.000), As at (0.500, 0.500, 0.500) and Pb at (0.000, 0.000, 0.500).

The total magnetization comes out at 0.000 μB/atom. The uncorrected energy comes out at -3.68 eV per atom. The value obtained for the energy of formation from the pure elements is 0.771 eV/atom. The offset from the most stable computed form is 0.421 eV per atom.


11.
RbPa2MnSe8 | PBE-GGA | optimized geometry

The space group is P-3m1 (No. 164) and the conventional cell measures 6.3023, 6.3023 and 9.5933 Å, with angles of 90.00, 90.00 and 120.00 degrees. The inequivalent atoms are Rb at (0.0000, 0.0000, 0.0000), Pa at (0.3333, 0.6667, 0.3934), Mn at (0.0000, 0.0000, 0.5000), Se at (0.1735, 0.3471, 0.6554) and Se at (0.3333, 0.6667, 0.1243).

The value obtained for the formation energy from raw total energies is -0.925 eV/atom. The total magnetization comes out at 0.244 μB/atom. The uncorrected energy comes out at -5.68 eV per atom.


12.
PrH8Pd2Pt | PBE-GGA | optimized geometry

The space group is R-3 (No. 148, hexagonal axes) and the conventional cell measures 4.7555, 4.7555 and 17.5092 Å, with angles of 90.00, 90.00 and 120.00 degrees. The inequivalent atoms are Pr at (0.0000, 0.0000, 0.0000), H at (0.0000, 0.0000, 0.3232), H at (0.0144, 0.3832, 0.2218), Pd at (0.0000, 0.0000, 0.2290) and Pt at (0.0000, 0.0000, 0.5000).

The total magnetization comes out at 0.000 μB/atom. The uncorrected energy comes out at -4.21 eV per atom.